1.
DFT (meta-GGA SCAN) results for Li2Ag at its PBEsol-relaxed geometry.

formation enthalpy at 0 K = -142 meV/atom
space-group type = C2/m (12)
DOS at the Fermi energy = 1.93 states/eV per cell
total magnetization = 0.06 μB/cell
density = 4.13 g/cm3

a b c (Å): 2.8180 5.6523 6.4880
angles (deg): 103.82 102.54 90.00
Atoms (fractional coordinates):
Ag1 0.1656 0.5840 0.3312
Ag2 0.8344 0.4160 0.6688
Li1 0.8280 0.8983 0.6560
Li2 0.4943 0.2667 0.9886
Li3 0.1720 0.1017 0.3440
Li4 0.5057 0.7333 0.0114

***

2.
DFT (meta-GGA SCAN) results for Li2Ag at its PBEsol-relaxed geometry.

formation enthalpy at 0 K = -108 meV/atom
space-group type = Cmcm (63)
DOS at the Fermi energy = 1.85 states/eV per cell
total magnetization = 0.05 μB/cell
density = 4.00 g/cm3

a b c (Å): 2.8697 4.7031 7.6277
angles (deg): 90.00 100.84 90.00
Atoms (fractional coordinates):
Li1 0.5589 0.2500 0.1178
Li2 0.1285 0.7500 0.2570
Li3 0.4411 0.7500 0.8822
Li4 0.8715 0.2500 0.7430
Ag1 0.2179 0.2500 0.4359
Ag2 0.7821 0.7500 0.5641

***

3.
DFT (meta-GGA SCAN) results for Li8Ag5 at its PBEsol-relaxed geometry.

formation enthalpy at 0 K = -196 meV/atom
space-group type = I-43m (217)
DOS at the Fermi energy = 6.07 states/eV per cell
total magnetization = 0.00 μB/cell
density = 4.74 g/cm3

a b c (Å): 8.1528 8.1528 8.1528
angles (deg): 109.47 109.47 109.47
Atoms (fractional coordinates):
Ag1 0.6460 0.0000 0.6460
Ag2 0.6544 0.0000 0.0000
Ag3 0.3540 0.0000 0.3540
Ag4 0.0000 0.3540 0.3540
Ag5 0.6460 0.6460 0.0000
Ag6 0.0000 0.6460 0.6460
Ag7 0.0000 0.6544 0.0000
Ag8 0.0000 0.0000 0.6544
Ag9 0.3540 0.3540 0.0000
Ag10 0.3456 0.3456 0.3456
Li1 0.0000 0.2271 0.0000
Li2 0.6537 0.6537 0.3720
Li3 0.7183 0.0000 0.3463
Li4 0.2271 0.0000 0.0000
Li5 0.0000 0.0000 0.2271
Li6 0.2817 0.6280 0.2817
Li7 0.3463 0.7183 0.0000
Li8 0.6280 0.2817 0.2817
Li9 0.7729 0.7729 0.7729
Li10 0.7183 0.3463 0.0000
Li11 0.0000 0.3463 0.7183
Li12 0.0000 0.7183 0.3463
Li13 0.2817 0.2817 0.6280
Li14 0.6537 0.3720 0.6537
Li15 0.3463 0.0000 0.7183
Li16 0.3720 0.6537 0.6537

***

4.
DFT (meta-GGA SCAN) results for Li5Ag24 at its PBEsol-relaxed geometry.

formation enthalpy at 0 K = -28 meV/atom
space-group type = I-43m (217)
DOS at the Fermi energy = 7.74 states/eV per cell
total magnetization = 0.00 μB/cell
density = 8.77 g/cm3

a b c (Å): 8.6404 8.6404 8.6404
angles (deg): 109.47 109.47 109.47
Atoms (fractional coordinates):
Ag1 0.1913 0.8109 0.1913
Ag2 0.4147 0.7260 0.4147
Ag3 0.3804 0.3804 0.1891
Ag4 0.8109 0.1913 0.1913
Ag5 0.0000 0.6196 0.8087
Ag6 0.1891 0.3804 0.3804
Ag7 0.3113 0.5853 0.0000
Ag8 0.2740 0.6887 0.6887
Ag9 0.4147 0.4147 0.7260
Ag10 0.3804 0.1891 0.3804
Ag11 0.5853 0.0000 0.3113
Ag12 0.8087 0.6196 0.0000
Ag13 0.7260 0.4147 0.4147
Ag14 0.3113 0.0000 0.5853
Ag15 0.5853 0.3113 0.0000
Ag16 0.6887 0.2740 0.6887
Ag17 0.6887 0.6887 0.2740
Ag18 0.1913 0.1913 0.8109
Ag19 0.6196 0.0000 0.8087
Ag20 0.0000 0.5853 0.3113
Ag21 0.0000 0.8087 0.6196
Ag22 0.0000 0.3113 0.5853
Ag23 0.6196 0.8087 0.0000
Ag24 0.8087 0.0000 0.6196
Li1 0.0000 0.3548 0.0000
Li2 0.0000 0.0000 0.0000
Li3 0.0000 0.0000 0.3548
Li4 0.6452 0.6452 0.6452
Li5 0.3548 0.0000 0.0000

***

5.
DFT (meta-GGA SCAN) results for Li2Ag at its PBEsol-relaxed geometry.

formation enthalpy at 0 K = 18 meV/atom
space-group type = Fm-3m (225)
DOS at the Fermi energy = 1.37 states/eV per cell
total magnetization = 0.00 μB/cell
density = 3.41 g/cm3

a b c (Å): 4.3753 4.3753 4.3753
angles (deg): 60.00 60.00 60.00
Atoms (fractional coordinates):
Li1 0.7500 0.7500 0.7500
Li2 0.2500 0.2500 0.2500
Ag1 0.0000 0.0000 0.0000

***

6.
DFT (meta-GGA SCAN) results for Li2Ag at its PBEsol-relaxed geometry.

formation enthalpy at 0 K = -139 meV/atom
space-group type = Cm (8)
DOS at the Fermi energy = 2.03 states/eV per cell
total magnetization = 0.00 μB/cell
density = 4.20 g/cm3

a b c (Å): 2.8375 5.3652 6.7861
angles (deg): 104.17 90.00 105.33
Atoms (fractional coordinates):
Ag1 0.9928 0.9857 0.9914
Ag2 0.6720 0.3441 0.3398
Li1 0.0614 0.1229 0.6066
Li2 0.3929 0.7859 0.2682
Li3 0.3349 0.6697 0.6684
Li4 0.7126 0.4251 0.9589

***

Among the records above, which one has the lowest density?
number 5